Record 1
The following is a PBE-GGA calculation of a geometry-optimized CsSiN2O structure, from the Alexandria database.

Unit cell a=4.3588 b=4.3588 c=4.3584 alpha=90.00 beta=90.00 gamma=90.00
With the nearest neighbours (Å) after each atom.
Positions (direct):
Cs  0.0000  0.0000  0.0000  2 O 2.18, 4 N 2.18
Si  0.5000  0.5000  0.5000  8 N 3.08, 4 O 3.08
N  0.0000  0.5000  0.0000  2 Cs 2.18
N  0.5000  0.0000  0.0000  2 Cs 2.18
O  0.0000  0.0000  0.5000  2 Cs 2.18

---

Record 2
The following is a PBE-GGA calculation of a geometry-optimized CsSnNO2 structure, from the Alexandria database.

Unit cell a=4.2283 b=4.2283 c=4.5876 alpha=90.00 beta=90.00 gamma=90.00
With the nearest neighbours (Å) after each atom.
Positions (direct):
Cs  0.0000  0.0000  0.0000  4 N 2.99, 8 O 3.12
Sn  0.5000  0.5000  0.5000  4 O 2.11, 2 N 2.29
N  0.5000  0.5000  0.0000  2 Sn 2.29
O  0.0000  0.5000  0.5000  2 Sn 2.11
O  0.5000  0.0000  0.5000  2 Sn 2.11

---

Record 3
The following is a PBE-GGA calculation of a geometry-optimized CsSnNO2 structure, from the Alexandria database.

Unit cell a=4.1883 b=4.1883 c=8.4724 alpha=90.00 beta=90.00 gamma=90.00
With the nearest neighbours (Å) after each atom.
Positions (direct):
Cs  0.0000  0.0000  0.0000  4 O 2.09
Sn  0.0000  0.0000  0.5000  4 N 2.96
N  0.5000  0.5000  0.5000  4 Sn 2.96
O  0.0000  0.5000  0.0000  2 Cs 2.09
O  0.5000  0.0000  0.0000  2 Cs 2.09

---

Record 4
The following is a PBE-GGA calculation of a geometry-optimized CsSnNO2 structure, from the Alexandria database.

Unit cell a=4.4868 b=4.4868 c=4.4425 alpha=90.00 beta=90.00 gamma=90.00
With the nearest neighbours (Å) after each atom.
Positions (direct):
Cs  0.0000  0.0000  0.0000  2 N 2.22, 4 O 2.24
Sn  0.5000  0.5000  0.5000  8 O 3.16, 4 N 3.17
N  0.0000  0.0000  0.5000  2 Cs 2.22
O  0.0000  0.5000  0.0000  2 Cs 2.24
O  0.5000  0.0000  0.0000  2 Cs 2.24

---

Record 5
The following is a PBE-GGA calculation of a geometry-optimized CsSrNO2 structure, from the Alexandria database.

Unit cell a=4.7789 b=4.7789 c=5.2245 alpha=90.00 beta=90.00 gamma=90.00
With the nearest neighbours (Å) after each atom.
Positions (direct):
Cs  0.0000  0.0000  0.0000  4 N 3.38, 8 O 3.54
Sr  0.5000  0.5000  0.5000  4 O 2.39, 2 N 2.61
N  0.5000  0.5000  0.0000  2 Sr 2.61
O  0.0000  0.5000  0.5000  2 Sr 2.39
O  0.5000  0.0000  0.5000  2 Sr 2.39

---

Record 6
The following is a PBE-GGA calculation of a geometry-optimized CsSrNO2 structure, from the Alexandria database.

Unit cell a=4.5449 b=4.5449 c=4.4056 alpha=90.00 beta=90.00 gamma=90.00
With the nearest neighbours (Å) after each atom.
Positions (direct):
Cs  0.0000  0.0000  0.0000  2 N 2.20, 4 O 2.27
Sr  0.5000  0.5000  0.5000  8 O 3.16, 4 N 3.21
N  0.0000  0.0000  0.5000  2 Cs 2.20
O  0.0000  0.5000  0.0000  2 Cs 2.27
O  0.5000  0.0000  0.0000  2 Cs 2.27

---

no.,uncorrected formation energy (eV/atom),density of states at the Fermi level (states/eV/atom)
1,2.4645,0.5067
2,-0.3411,0.3075
3,1.4087,0.5286
4,1.1472,0.5111
5,-0.1771,0.8182
6,0.2475,0.7393